Entry 1:
First-principles (PBE) data for an optimized crystal structure of PaInGaSn, as listed in the Alexandria database.

The structure belongs to space group P4/nmm (No. 129, origin choice 2); the cell edges are 4.4603, 4.4603 and 9.5211 Å and the angles 90.00°, 90.00° and 90.00°. The inequivalent atoms are Pa at (0.2500, 0.2500, 0.2246), In at (0.2500, 0.7500, 0.5000), Ga at (0.2500, 0.7500, 0.0000) and Sn at (0.2500, 0.2500, 0.7638).

For the total DFT energy (no corrections), the calculation gives -19.83 eV per formula unit. For the energy of formation from the pure elements, the calculation gives -0.142 eV per atom.

***

Entry 2:
First-principles (PBE) data for an optimized crystal structure of SrLiTi2In, as listed in the Alexandria database.

The structure belongs to space group P4/mmm (No. 123); the cell edges are 4.8471, 4.8471 and 5.0816 Å and the angles 90.00°, 90.00° and 90.00°. The inequivalent atoms are Sr at (0.0000, 0.0000, 0.0000), Li at (0.0000, 0.0000, 0.5000), Ti at (0.0000, 0.5000, 0.5000) and In at (0.5000, 0.5000, 0.0000).

For the total DFT energy (no corrections), the calculation gives -17.99 eV per formula unit. For the energy of formation from the pure elements, the calculation gives 0.827 eV per atom.

***

Entry 3:
First-principles (PBE) data for an optimized crystal structure of CrFe2Se, as listed in the Alexandria database.

The structure belongs to space group Imm2 (No. 44); the cell edges are 3.1417, 4.0991 and 7.9635 Å and the angles 90.00°, 90.00° and 90.00°. The inequivalent atoms are Cr at (0.0000, 0.0000, 0.0000), Fe at (0.0000, 0.0000, 0.5328), Fe at (0.0000, 0.5000, 0.7725) and Se at (0.0000, 0.5000, 0.2634).

The uncorrected formation energy is 6.50 kcal/mol of atoms. The offset from the most stable computed form is 89 meV per atom. For the total DFT energy (no corrections), the calculation gives -28.91 eV per formula unit.

***

Entry 4:
First-principles (PBE) data for an optimized crystal structure of YTiTc2, as listed in the Alexandria database.

The structure belongs to space group I-42d (No. 122); the cell edges are 4.6983, 4.6983 and 17.0322 Å and the angles 90.00°, 90.00° and 90.00°. The inequivalent atoms are Y at (0.0000, 0.0000, 0.0000), Ti at (0.0000, 0.0000, 0.5000) and Tc at (0.0389, 0.7500, 0.6250).

The offset from the most stable computed form is 596 meV per atom. For the total DFT energy (no corrections), the calculation gives -32.76 eV per formula unit. For the energy of formation from the pure elements, the calculation gives 0.582 eV per atom.

***

Entry 5:
First-principles (PBE) data for an optimized crystal structure of ErTm2ScBi4, as listed in the Alexandria database.

The structure belongs to space group P2/m (No. 10); the cell edges are 7.6162, 4.4004 and 7.6173 Å and the angles 90.00°, 109.46° and 90.00°. The inequivalent atoms are Er at (0.0000, 0.0000, 0.0000), Tm at (0.0000, 0.5000, 0.5000), Tm at (0.5000, 0.0000, 0.5000), Sc at (0.5000, 0.5000, 0.0000), Bi at (0.2545, 0.5000, 0.2470) and Bi at (0.2576, 0.0000, 0.7569).

For the total DFT energy (no corrections), the calculation gives -41.38 eV per formula unit. For the energy of formation from the pure elements, the calculation gives -0.753 eV per atom.

***

Entry 6:
First-principles (PBE) data for an optimized crystal structure of Ca5MgZn, as listed in the Alexandria database.

The structure belongs to space group P4/mmm (No. 123); the cell edges are 5.1866, 5.1866 and 9.0722 Å and the angles 90.00°, 90.00° and 90.00°. The inequivalent atoms are Ca at (0.0000, 0.0000, 0.0000), Ca at (0.0000, 0.5000, 0.2993), Mg at (0.5000, 0.5000, 0.0000) and Zn at (0.0000, 0.0000, 0.5000).

The offset from the most stable computed form is 0 meV per atom. For the total DFT energy (no corrections), the calculation gives -13.09 eV per formula unit. For the energy of formation from the pure elements, the calculation gives -0.031 eV per atom.

***

Entry 7:
First-principles (PBE) data for an optimized crystal structure of NiAg2Pt, as listed in the Alexandria database.

The structure belongs to space group Pmmm (No. 47); the cell edges are 2.8358, 4.6437 and 4.7542 Å and the angles 90.00°, 90.00° and 90.00°. The inequivalent atoms are Ni at (0.0000, 0.0000, 0.0000), Ag at (0.0000, 0.5000, 0.5000), Ag at (0.5000, 0.0000, 0.5000) and Pt at (0.5000, 0.5000, 0.0000).

For the total DFT energy (no corrections), the calculation gives -16.94 eV per formula unit. For the energy of formation from the pure elements, the calculation gives 0.147 eV per atom.

***

Entry 8:
First-principles (PBE) data for an optimized crystal structure of Nd2Zn3Cd9, as listed in the Alexandria database.

The structure belongs to space group C2/c (No. 15); the cell edges are 14.5882, 8.4239 and 11.0974 Å and the angles 90.00°, 115.04° and 90.00°. The inequivalent atoms are Nd at (0.1637, 0.0822, 0.2447), Zn at (0.0867, 0.2217, 0.4907), Zn at (0.2500, 0.2500, 0.0000), Cd at (0.0000, 0.3748, 0.2500), Cd at (0.0566, 0.0968, 0.9152), Cd at (0.1044, 0.4157, 0.0600), Cd at (0.1106, 0.3164, 0.7399) and Cd at (0.2214, 0.4162, 0.4226).

For the total DFT energy (no corrections), the calculation gives -24.20 eV per formula unit. For the energy of formation from the pure elements, the calculation gives -0.187 eV per atom.

***

Entry 9:
First-principles (PBE) data for an optimized crystal structure of Zr2CrCu, as listed in the Alexandria database.

The structure belongs to space group F-43m (No. 216); the cell edges are 6.5545, 6.5545 and 6.5545 Å and the angles 90.00°, 90.00° and 90.00°. The inequivalent atoms are Zr at (0.0000, 0.0000, 0.0000), Zr at (0.2500, 0.2500, 0.2500), Cr at (0.0000, 0.0000, 0.5000) and Cu at (0.2500, 0.2500, 0.7500).

For the total DFT energy (no corrections), the calculation gives -29.79 eV per formula unit. For the energy of formation from the pure elements, the calculation gives 0.257 eV per atom.

***

Entry 10:
First-principles (PBE) data for an optimized crystal structure of Ac2Pr2Er5, as listed in the Alexandria database.

The structure belongs to space group C2/m (No. 12); the cell edges are 22.0122, 3.6236 and 8.3745 Å and the angles 90.00°, 98.65° and 90.00°. The inequivalent atoms are Ac at (0.1830, 0.0000, 0.1351), Pr at (0.0471, 0.5000, 0.3498), Er at (0.0000, 0.0000, 0.0000), Er at (0.0950, 0.0000, 0.7227) and Er at (0.1905, 0.5000, 0.5279).

For the total DFT energy (no corrections), the calculation gives -38.59 eV per formula unit. For the energy of formation from the pure elements, the calculation gives 0.222 eV per atom.

***

Entry 11:
First-principles (PBE) data for an optimized crystal structure of ZnPbBr, as listed in the Alexandria database.

The structure belongs to space group Fmm2 (No. 42); the cell edges are 3.6843, 6.3811 and 14.5683 Å and the angles 90.00°, 90.00° and 90.00°. The inequivalent atoms are Zn at (0.0000, 0.0000, 0.0000), Pb at (0.0000, 0.0000, 0.6571) and Br at (0.0000, 0.0000, 0.3789).

The uncorrected formation energy is -3.70 kcal/mol of atoms. The offset from the most stable computed form is 46 meV per atom. For the total DFT energy (no corrections), the calculation gives -7.14 eV per formula unit.

***

Entry 12:
First-principles (PBE) data for an optimized crystal structure of CaNiTe2I, as listed in the Alexandria database.

The structure belongs to space group P4/mmm (No. 123); the cell edges are 5.1437, 5.1437 and 5.4495 Å and the angles 90.00°, 90.00° and 90.00°. The inequivalent atoms are Ca at (0.0000, 0.0000, 0.0000), Ni at (0.5000, 0.5000, 0.5000), Te at (0.0000, 0.5000, 0.5000) and I at (0.5000, 0.5000, 0.0000).

The uncorrected formation energy is -9.07 kcal/mol of atoms. The offset from the most stable computed form is 0 meV per atom. For the total DFT energy (no corrections), the calculation gives -17.58 eV per formula unit.

***

Entry 13:
First-principles (PBE) data for an optimized crystal structure of Er3Pu2Sc9, as listed in the Alexandria database.

The structure belongs to space group R-3c (No. 167, hexagonal axes); the cell edges are 12.5667, 12.5667 and 15.8418 Å and the angles 90.00°, 90.00° and 120.00°. The inequivalent atoms are Er at (0.0000, 0.3644, 0.2500), Pu at (0.0000, 0.0000, 0.0778), Sc at (0.0000, 0.1509, 0.7500) and Sc at (0.0254, 0.2167, 0.4099).

For the total DFT energy (no corrections), the calculation gives -96.30 eV per formula unit. For the energy of formation from the pure elements, the calculation gives 0.217 eV per atom.

***

Entry 14:
First-principles (PBE) data for an optimized crystal structure of Nb2Ga2Ni3, as listed in the Alexandria database.

The structure belongs to space group P-1 (No. 2); the cell edges are 3.4632, 4.7900 and 6.4231 Å and the angles 95.91°, 90.05° and 111.19°. The inequivalent atoms are Nb at (0.1351, 0.2687, 0.4262), Ga at (0.4076, 0.8156, 0.2270), Ni at (0.0000, 0.0000, 0.0000) and Ni at (0.2932, 0.5856, 0.8546).

For the total DFT energy (no corrections), the calculation gives -45.17 eV per formula unit. For the energy of formation from the pure elements, the calculation gives -0.233 eV per atom.

***

Entry 15:
First-principles (PBE) data for an optimized crystal structure of RuWS2, as listed in the Alexandria database.

The structure belongs to space group R-3m (No. 166, hexagonal axes); the cell edges are 3.0526, 3.0526 and 23.4666 Å and the angles 90.00°, 90.00° and 120.00°. The inequivalent atoms are Ru at (0.0000, 0.0000, 0.0000), W at (0.0000, 0.0000, 0.5000) and S at (0.0000, 0.0000, 0.0957).

The uncorrected formation energy is -2.42 kcal/mol of atoms. The offset from the most stable computed form is 0 meV per atom. For the total DFT energy (no corrections), the calculation gives -30.90 eV per formula unit.

***

Entry 16:
First-principles (PBE) data for an optimized crystal structure of Tm5AlIn3, as listed in the Alexandria database.

The structure belongs to space group P6_3/mcm (No. 193); the cell edges are 9.1037, 9.1037 and 6.5106 Å and the angles 90.00°, 90.00° and 120.00°. The inequivalent atoms are Tm at (0.0000, 0.2795, 0.2500), Tm at (0.3333, 0.6667, 0.0000), Al at (0.0000, 0.0000, 0.0000) and In at (0.0000, 0.3756, 0.7500).

For the total DFT energy (no corrections), the calculation gives -37.89 eV per formula unit. For the energy of formation from the pure elements, the calculation gives -0.397 eV per atom.

***

Entry 17:
First-principles (PBE) data for an optimized crystal structure of CrHg4Os, as listed in the Alexandria database.

The structure belongs to space group F-43m (No. 216); the cell edges are 7.9168, 7.9168 and 7.9168 Å and the angles 90.00°, 90.00° and 90.00°. The inequivalent atoms are Cr at (0.0000, 0.0000, 0.0000), Hg at (0.1248, 0.1248, 0.6248) and Os at (0.2500, 0.2500, 0.2500).

For the total DFT energy (no corrections), the calculation gives -15.61 eV per formula unit. For the energy of formation from the pure elements, the calculation gives 1.075 eV per atom.

***

Entry 18:
First-principles (PBE) data for an optimized crystal structure of AlCuAsBr2, as listed in the Alexandria database.

The structure belongs to space group P4/mmm (No. 123); the cell edges are 4.9578, 4.9578 and 5.1996 Å and the angles 90.00°, 90.00° and 90.00°. The inequivalent atoms are Al at (0.0000, 0.0000, 0.0000), Cu at (0.5000, 0.5000, 0.5000), As at (0.0000, 0.0000, 0.5000) and Br at (0.0000, 0.5000, 0.0000).

The uncorrected formation energy is 7.55 kcal/mol of atoms. The offset from the most stable computed form is 28 meV per atom. For the total DFT energy (no corrections), the calculation gives -14.20 eV per formula unit.

***

Entry 19:
First-principles (PBE) data for an optimized crystal structure of AcPrSm, as listed in the Alexandria database.

The structure belongs to space group I4mm (No. 107); the cell edges are 3.8061, 3.8061 and 15.8432 Å and the angles 90.00°, 90.00° and 90.00°. The inequivalent atoms are Ac at (0.0000, 0.0000, 0.0000), Pr at (0.0000, 0.0000, 0.3268) and Sm at (0.0000, 0.0000, 0.6697).

The offset from the most stable computed form is 0 meV per atom. For the total DFT energy (no corrections), the calculation gives -13.51 eV per formula unit. For the energy of formation from the pure elements, the calculation gives 0.034 eV per atom.

***

Entry 20:
First-principles (PBE) data for an optimized crystal structure of SrCdBr2, as listed in the Alexandria database.

The structure belongs to space group C2/m (No. 12); the cell edges are 7.4513, 7.4506 and 4.4043 Å and the angles 90.00°, 90.10° and 90.00°. The inequivalent atoms are Sr at (0.0000, 0.0000, 0.0000), Cd at (0.0000, 0.5000, 0.0000) and Br at (0.2500, 0.2500, 0.5000).

The uncorrected formation energy is -26.92 kcal/mol of atoms. The offset from the most stable computed form is 249 meV per atom. For the total DFT energy (no corrections), the calculation gives -10.61 eV per formula unit.

***

Entry 21:
First-principles (PBE) data for an optimized crystal structure of K2SrTeSe4, as listed in the Alexandria database.

The structure belongs to space group Imma (No. 74); the cell edges are 8.6928, 9.1760 and 12.6402 Å and the angles 90.00°, 90.00° and 90.00°. The inequivalent atoms are K at (0.0000, 0.0000, 0.0000), K at (0.2500, 0.2500, 0.2500), Sr at (0.0000, 0.0000, 0.5000), Te at (0.2500, 0.2500, 0.7500), Se at (0.0000, 0.0396, 0.7467) and Se at (0.2393, 0.2500, 0.5243).

The uncorrected formation energy is -22.71 kcal/mol of atoms. For the total DFT energy (no corrections), the calculation gives -28.83 eV per formula unit.

***

Entry 22:
First-principles (PBE) data for an optimized crystal structure of Er2MnOs, as listed in the Alexandria database.

The structure belongs to space group R-3m (No. 166, hexagonal axes); the cell edges are 3.2238, 3.2238 and 30.1587 Å and the angles 90.00°, 90.00° and 120.00°. The inequivalent atoms are Er at (0.0000, 0.0000, 0.0968), Mn at (0.0000, 0.0000, 0.0000) and Os at (0.0000, 0.0000, 0.5000).

The offset from the most stable computed form is 579 meV per atom. For the total DFT energy (no corrections), the calculation gives -27.42 eV per formula unit. For the energy of formation from the pure elements, the calculation gives 0.525 eV per atom.

***

Entry 23:
First-principles (PBE) data for an optimized crystal structure of V2FeGe, as listed in the Alexandria database.

The structure belongs to space group P4/mmm (No. 123); the cell edges are 3.1923, 3.1923 and 5.1685 Å and the angles 90.00°, 90.00° and 90.00°. The inequivalent atoms are V at (0.0000, 0.0000, 0.2461), Fe at (0.5000, 0.5000, 0.0000) and Ge at (0.5000, 0.5000, 0.5000).

For the total DFT energy (no corrections), the calculation gives -31.78 eV per formula unit. For the energy of formation from the pure elements, the calculation gives -0.115 eV per atom.

***

Entry 24:
First-principles (PBE) data for an optimized crystal structure of Ti2Rh9W, as listed in the Alexandria database.

The structure belongs to space group P4/mmm (No. 123); the cell edges are 3.8585, 3.8585 and 11.5812 Å and the angles 90.00°, 90.00° and 90.00°. The inequivalent atoms are Ti at (0.0000, 0.0000, 0.1623), Rh at (0.0000, 0.5000, 0.0000), Rh at (0.0000, 0.5000, 0.3357), Rh at (0.5000, 0.5000, 0.1676), Rh at (0.5000, 0.5000, 0.5000) and W at (0.0000, 0.0000, 0.5000).

For the total DFT energy (no corrections), the calculation gives -101.14 eV per formula unit. For the energy of formation from the pure elements, the calculation gives -0.519 eV per atom.